No. 1
# SrCuSn2I

A geometry-optimized SrCuSn2I structure (GGA-PBE, the Alexandria database).

abc: 6.409 6.409 6.084
angles: 90.00 90.00 90.00
Space group P4/mmm (No. 123)
Symmetry-distinct sites (fractional):
Sr1 0.000 0.000 0.000 x1
Cu1 0.500 0.500 0.500 x1
Sn1 0.000 0.500 0.000 x2
I1 0.000 0.000 0.500 x1

## Properties
Volume ... 50.0 Å³/atom
Theoretical density ... 3.4 g/cm3
Magnetic moment ... 0.73 μB per formula unit
Formation energy from raw total energies ... 0.807 eV/atom
E_tot ... -2.26 eV per atom

***

No. 2
# Ta2BeIr

A geometry-optimized Ta2BeIr structure (GGA-PBE, the Alexandria database).

abc: 10.186 2.911 4.585
angles: 90.00 116.28 90.00
Space group Cm (No. 8)
Symmetry-distinct sites (fractional):
Ta1 0.000 0.000 0.000 x2
Ta2 0.232 0.000 0.741 x2
Be1 0.268 0.500 0.277 x2
Ir1 0.474 0.000 0.473 x2

## Properties
Volume ... 15.2 Å³/atom
ΔE_f ... -209.5 meV per atom
Theoretical density ... 15.3 g/cm3
Magnetic moment ... 0.00 μB per formula unit
E_tot ... -9.28 eV per atom

***

No. 3
# Pu3Ga3Ni2

A geometry-optimized Pu3Ga3Ni2 structure (GGA-PBE, the Alexandria database).

abc: 15.835 4.229 4.839
angles: 90.00 106.51 90.00
Space group C2/m (No. 12)
Symmetry-distinct sites (fractional):
Pu1 0.000 0.000 0.000 x2
Pu2 0.148 0.000 0.559 x4
Ga1 0.000 0.500 0.500 x2
Ga2 0.144 0.500 0.074 x4
Ni1 0.226 0.000 0.113 x4

## Properties
Volume ... 19.4 Å³/atom
ΔE_f ... -319.3 meV per atom
Theoretical density ... 11.3 g/cm3
Magnetic moment ... 16.15 μB per formula unit
E_tot ... -8.27 eV per atom

***

No. 4
# LiCuNiP

A geometry-optimized LiCuNiP structure (GGA-PBE, the Alexandria database).

abc: 3.961 3.961 5.650
angles: 90.00 90.00 90.00
Space group P4/nmm (No. 129, origin choice 2)
Symmetry-distinct sites (fractional):
Li1 0.250 0.250 0.248 x2
Cu1 0.250 0.750 0.500 x2
Ni1 0.250 0.750 0.000 x2
P1 0.250 0.250 0.773 x2

## Properties
Volume ... 11.1 Å³/atom
ΔE_f ... -325.9 meV per atom
Theoretical density ... 6.0 g/cm3
Magnetic moment ... 0.00 μB per formula unit
E_tot ... -4.63 eV per atom
Energy above the most stable polymorph in this dataset ... 0.0 meV per atom

***

No. 5
# PPdRhS2

A geometry-optimized PPdRhS2 structure (GGA-PBE, the Alexandria database).

abc: 4.750 4.750 4.360
angles: 90.00 90.00 90.00
Space group P4/mmm (No. 123)
Symmetry-distinct sites (fractional):
P1 0.000 0.000 0.000 x1
Pd1 0.500 0.500 0.000 x1
Rh1 0.000 0.000 0.500 x1
S1 0.000 0.500 0.500 x2

## Properties
Volume ... 19.7 Å³/atom
Theoretical density ... 5.1 g/cm3
Magnetic moment ... 0.00 μB per formula unit
Formation energy from raw total energies ... 0.678 eV/atom
E_tot ... -4.56 eV per atom
Energy above the most stable polymorph in this dataset ... 0.0 meV per atom

***

No. 6
# SrTl2Sn6

A geometry-optimized SrTl2Sn6 structure (GGA-PBE, the Alexandria database).

abc: 8.630 9.517 6.424
angles: 90.00 98.33 90.00
Space group C2/m (No. 12)
Symmetry-distinct sites (fractional):
Sr1 0.000 0.000 0.000 x2
Tl1 0.160 0.500 0.661 x4
Sn1 0.000 0.169 0.500 x4
Sn2 0.165 0.335 0.170 x8

## Properties
Volume ... 29.0 Å³/atom
ΔE_f ... -145.8 meV per atom
Theoretical density ... 7.7 g/cm3
Magnetic moment ... 0.00 μB per formula unit
E_tot ... -3.53 eV per atom

***

No. 7
# SrCaIn

A geometry-optimized SrCaIn structure (GGA-PBE, the Alexandria database).

abc: 5.589 5.589 7.925
angles: 90.00 90.00 90.00
Space group I-4m2 (No. 119)
Symmetry-distinct sites (fractional):
Sr1 0.000 0.000 0.000 x2
Ca1 0.000 0.000 0.500 x2
In1 0.000 0.500 0.250 x2

## Properties
Volume ... 41.3 Å³/atom
ΔE_f ... -208.9 meV per atom
Theoretical density ... 3.3 g/cm3
Magnetic moment ... 1.03 μB per formula unit
E_tot ... -2.35 eV per atom

***

No. 8
# ReRu2Pb

A geometry-optimized ReRu2Pb structure (GGA-PBE, the Alexandria database).

abc: 9.274 2.989 4.923
angles: 90.00 101.64 90.00
Space group Cm (No. 8)
Symmetry-distinct sites (fractional):
Re1 0.000 0.000 0.000 x2
Ru1 0.021 0.500 0.577 x2
Ru2 0.267 0.000 0.853 x2
Pb1 0.263 0.500 0.339 x2

## Properties
Volume ... 16.7 Å³/atom
ΔE_f ... 552.2 meV per atom
Theoretical density ... 14.8 g/cm3
Magnetic moment ... 0.00 μB per formula unit
E_tot ... -8.12 eV per atom